# 1
Material: CsK2F3
Method: DFT, PBE
State: optimized geometry

## Properties
The excess energy over the best structure of this formula in the dataset is 71 meV per atom. Its space group is Cmcm (63).

Lattice parameters (Å, degrees): 4.498 7.182 9.546 90.00 90.00 108.25
Element x y z (fractional)
K1 0.512 0.025 0.250
K2 0.000 0.000 0.000
K3 0.488 0.975 0.750
K4 0.000 0.000 0.500
F1 0.382 0.764 0.965
F2 0.618 0.236 0.035
F3 0.074 0.147 0.750
F4 0.382 0.764 0.535
F5 0.926 0.853 0.250
F6 0.618 0.236 0.465
Cs1 0.262 0.523 0.250
Cs2 0.738 0.477 0.750

***

# 2
Material: Cs2KF
Method: DFT, PBE
State: optimized geometry

## Properties
The excess energy over the best structure of this formula in the dataset is 0 meV per atom. Its space group is I-42d (122).

Lattice parameters (Å, degrees): 9.230 9.230 9.197 59.88 59.88 90.00
Element x y z (fractional)
F1 0.500 0.500 0.000
F2 0.250 0.750 0.500
Cs1 0.335 0.625 0.250
Cs2 0.875 0.665 0.750
Cs3 0.415 0.125 0.250
Cs4 0.375 0.585 0.750
K1 0.000 0.000 0.000
K2 0.750 0.250 0.500

***

# 3
Material: Cs2KF
Method: DFT, PBE
State: optimized geometry

## Properties
The excess energy over the best structure of this formula in the dataset is 35 meV per atom. Its space group is R-3m (166).

Lattice parameters (Å, degrees): 4.615 4.615 12.296 79.18 79.18 60.00
Element x y z (fractional)
F1 0.000 0.000 0.000
K1 0.500 0.500 0.500
Cs1 0.286 0.286 0.141
Cs2 0.714 0.714 0.859

***

# 4
Material: CsK6F8
Method: DFT, PBE
State: optimized geometry

## Properties
Its space group is P-3 (147).

Lattice parameters (Å, degrees): 3.997 9.841 9.841 120.00 90.00 90.00
Element x y z (fractional)
K1 0.241 0.537 0.668
K2 0.759 0.668 0.131
K3 0.241 0.332 0.869
K4 0.759 0.463 0.332
K5 0.759 0.869 0.537
K6 0.241 0.131 0.463
Cs1 0.500 0.000 0.000
F1 0.261 0.300 0.336
F2 0.261 0.036 0.700
F3 0.739 0.700 0.664
F4 0.739 0.964 0.300
F5 0.257 0.667 0.333
F6 0.739 0.336 0.036
F7 0.743 0.333 0.667
F8 0.261 0.664 0.964

***

# 5
Material: Cs7KF2
Method: DFT, PBE
State: optimized geometry

## Properties
Its space group is Cmmm (65).

Lattice parameters (Å, degrees): 13.072 13.072 5.327 90.00 90.00 126.84
Element x y z (fractional)
Cs1 0.500 0.500 0.500
Cs2 0.691 0.309 0.000
Cs3 0.364 0.101 0.500
Cs4 0.899 0.636 0.500
Cs5 0.309 0.691 0.000
Cs6 0.101 0.364 0.500
Cs7 0.636 0.899 0.500
F1 0.629 0.371 0.500
F2 0.371 0.629 0.500
K1 0.000 0.000 0.000

***

# 6
Material: Cs3K6F
Method: DFT, PBE
State: optimized geometry

## Properties
Its space group is Cmc2_1 (36).

Lattice parameters (Å, degrees): 8.373 14.444 14.444 117.39 90.00 90.00
Element x y z (fractional)
K1 0.730 0.607 0.108
K2 0.230 0.108 0.607
K3 0.106 0.776 0.552
K4 0.230 0.393 0.892
K5 0.608 0.885 0.115
K6 0.606 0.224 0.448
K7 0.606 0.552 0.776
K8 0.297 0.756 0.244
K9 0.797 0.244 0.756
K10 0.730 0.892 0.393
K11 0.106 0.448 0.224
K12 0.108 0.115 0.885
Cs1 0.105 0.761 0.901
Cs2 0.605 0.239 0.099
Cs3 0.605 0.901 0.761
Cs4 0.604 0.565 0.435
Cs5 0.104 0.435 0.565
Cs6 0.105 0.099 0.239
F1 0.093 0.218 0.782
F2 0.593 0.782 0.218

***

# 7
Material: Cs4KF
Method: DFT, PBE
State: optimized geometry

## Properties
Its space group is Pmn2_1 (31).

Lattice parameters (Å, degrees): 8.461 9.700 12.820 90.00 90.00 90.00
Element x y z (fractional)
Cs1 0.781 0.245 0.000
Cs2 0.352 0.504 0.000
Cs3 0.219 0.745 0.500
Cs4 0.787 0.691 0.173
Cs5 0.787 0.691 0.827
Cs6 0.648 0.004 0.500
Cs7 0.213 0.191 0.327
Cs8 0.213 0.191 0.673
F1 0.685 0.528 0.000
F2 0.315 0.028 0.500
K1 0.280 0.970 0.000
K2 0.720 0.470 0.500

***

# 8
Material: Cs2KF
Method: DFT, PBE
State: optimized geometry

## Properties
The excess energy over the best structure of this formula in the dataset is 157 meV per atom. Its space group is P4/mmm (123).

Lattice parameters (Å, degrees): 4.109 4.109 12.217 90.00 90.00 90.00
Element x y z (fractional)
Cs1 0.000 0.000 0.850
Cs2 0.000 0.000 0.150
F1 0.500 0.500 0.000
K1 0.500 0.500 0.500

***

# 9
Material: CsK2F3
Method: DFT, PBE
State: optimized geometry

## Properties
The excess energy over the best structure of this formula in the dataset is 0 meV per atom. Its space group is Pmc2_1 (26).

Lattice parameters (Å, degrees): 3.752 6.889 10.544 90.00 90.00 90.00
Element x y z (fractional)
F1 0.500 0.672 0.926
F2 0.000 0.756 0.598
F3 0.500 0.262 0.706
F4 0.500 0.172 0.074
F5 0.000 0.256 0.402
F6 0.500 0.762 0.294
K1 0.000 0.003 0.223
K2 0.500 0.006 0.518
K3 0.500 0.506 0.482
K4 0.000 0.503 0.777
Cs1 0.000 0.503 0.133
Cs2 0.000 0.003 0.867

***

# 10
Material: Cs2KF
Method: DFT, PBE
State: optimized geometry

## Properties
The excess energy over the best structure of this formula in the dataset is 35 meV per atom. Its space group is R3m (160).

Lattice parameters (Å, degrees): 4.615 4.615 12.292 79.18 79.18 60.00
Element x y z (fractional)
F1 0.666 0.666 0.001
K1 0.500 0.500 0.500
Cs1 0.286 0.286 0.141
Cs2 0.047 0.047 0.859

***

# 11
Material: CsK2F
Method: DFT, PBE
State: optimized geometry

## Properties
The excess energy over the best structure of this formula in the dataset is 77 meV per atom. Its space group is R-3m (166).

Lattice parameters (Å, degrees): 4.328 4.328 12.437 79.98 79.98 60.00
Element x y z (fractional)
Cs1 0.000 0.000 0.000
K1 0.127 0.127 0.620
K2 0.873 0.873 0.380
F1 0.500 0.500 0.500

***

# 12
Material: CsK2F
Method: DFT, PBE
State: optimized geometry

## Properties
The excess energy over the best structure of this formula in the dataset is 0 meV per atom. Its space group is I-42d (122).

Lattice parameters (Å, degrees): 8.614 8.614 8.624 60.04 60.04 90.00
Element x y z (fractional)
F1 0.250 0.750 0.500
F2 0.500 0.500 0.000
K1 0.373 0.625 0.250
K2 0.375 0.623 0.750
K3 0.875 0.627 0.750
K4 0.377 0.125 0.250
Cs1 0.750 0.250 0.500
Cs2 0.000 0.000 0.000

***

The evaluated uncorrected formation energy for the records listed, in turn: -2.5644, -1.2937, -1.2586, -2.4767, -0.9938, -0.5078, -0.8479, -1.1366, -2.6353, -1.2586, -1.1881, -1.2654 eV/atom.